(1)
# YVCo2Sb

Crystalline YVCo2Sb at its relaxed geometry (PBE, the Alexandria database).

Structure (extended XYZ):
```
5
Lattice="4.410 0.000 0.000 0.000 4.991 0.000 0.000 0.000 4.410" Properties=species:S:1:pos:R:3 pbc="T T T"
V 0.000 0.000 0.000
Co 0.000 0.000 2.205
Co 2.205 0.000 0.000
Y 2.205 2.496 2.205
Sb 0.000 2.496 0.000
```

## Properties
SG ... P4/mmm
Energy relative to the elements, uncorrected ... 0.32 eV/atom


(2)
# SrTi2Pb2

Crystalline SrTi2Pb2 at its relaxed geometry (PBE, the Alexandria database).

Structure (extended XYZ):
```
10
Lattice="-1.732 -8.435 -1.058 6.785 -0.721 -5.359 1.926 -0.713 2.534" Properties=species:S:1:pos:R:3 pbc="T T T"
Pb 1.721 -7.519 -1.325
Pb 5.362 -6.672 -3.854
Pb 5.257 -2.351 -2.558
Pb 1.617 -3.198 -0.029
Sr 0.000 0.000 0.000
Sr 2.526 -4.578 -3.209
Ti 5.362 -3.931 -5.182
Ti 2.598 -7.946 -4.211
Ti 2.454 -1.210 -2.206
Ti -0.310 -5.226 -1.236
```

## Properties
Offset from the most stable computed form ... 0.094 eV/atom
SG ... P4/mbm
Formation energy from the elements ... 0.02 eV/atom


(3)
# PmPaRhS4

Crystalline PmPaRhS4 at its relaxed geometry (PBE, the Alexandria database).

Structure (extended XYZ):
```
14
Lattice="6.471 0.000 0.206 0.000 5.765 0.000 -2.282 0.000 7.543" Properties=species:S:1:pos:R:3 pbc="T T T"
Rh 0.720 4.323 2.685
Rh 3.468 1.441 5.064
Pa 0.341 1.441 4.260
Pa 3.847 4.323 3.489
S 2.711 1.441 2.946
S 1.477 4.323 4.803
S -1.507 2.972 5.688
S 5.696 0.090 2.061
S 1.644 1.441 6.685
S 2.545 4.323 1.064
S 5.696 2.793 2.061
S -1.507 5.675 5.688
Pm 2.678 4.323 7.249
Pm 1.510 1.441 0.500
```

## Properties
SG ... P2_1/m
Energy relative to the elements, uncorrected ... -1.40 eV/atom


(4)
# NaHI2

Crystalline NaHI2 at its relaxed geometry (PBE, the Alexandria database).

Structure (extended XYZ):
```
8
Lattice="-3.866 -1.895 -1.905 -1.755 -3.852 7.396 -3.366 5.888 0.973" Properties=species:S:1:pos:R:3 pbc="T T T"
Na -5.766 0.614 4.931
Na -2.980 3.479 2.175
I -5.186 -2.020 6.870
I -2.723 0.682 3.952
I -5.105 2.158 7.598
I -5.999 3.215 3.027
H -3.523 -2.838 6.749
H -2.681 -0.930 3.032
```

## Properties
Offset from the most stable computed form ... 0.031 eV/atom
SG ... Pc


(5)
# TlRhBr4

Crystalline TlRhBr4 at its relaxed geometry (PBE, the Alexandria database).

Structure (extended XYZ):
```
6
Lattice="-0.418 4.090 4.890 0.060 6.295 -1.087 -5.318 3.438 0.842" Properties=species:S:1:pos:R:3 pbc="T T T"
Br -2.131 5.189 1.743
Br -2.101 8.327 1.201
Br -2.339 7.228 4.181
Br -4.782 6.903 2.163
Rh -4.257 10.367 3.484
Tl 0.000 0.000 0.000
```

## Properties
SG ... F-43m
Energy relative to the elements, uncorrected ... 0.69 eV/atom


(6)
# CaIn2P

Crystalline CaIn2P at its relaxed geometry (PBE, the Alexandria database).

Structure (extended XYZ):
```
4
Lattice="5.641 0.008 0.000 1.996 5.276 0.000 -3.818 -2.642 3.203" Properties=species:S:1:pos:R:3 pbc="T T T"
In 0.000 0.000 0.000
In 0.998 2.638 1.601
Ca 2.820 0.004 1.601
P 3.818 2.642 0.000
```

## Properties
SG ... I-4m2
Formation energy from the elements ... -0.25 eV/atom


(7)
# Pr4PtCCl2

Crystalline Pr4PtCCl2 at its relaxed geometry (PBE, the Alexandria database).

Structure (extended XYZ):
```
8
Lattice="-2.128 -3.270 -0.609 5.007 -2.371 -4.767 1.891 -2.494 6.788" Properties=species:S:1:pos:R:3 pbc="T T T"
Pr 2.965 -2.679 4.028
Pr 4.128 -5.363 1.570
Pr 0.642 -2.773 -0.158
Pr 3.933 -2.186 -2.007
Cl -0.119 -2.882 3.090
Cl 3.449 -2.433 1.011
Pt 0.000 0.000 0.000
C 1.439 -2.821 -2.688
```

## Properties
SG ... P2/m
Energy relative to the elements, uncorrected ... -1.07 eV/atom


(8)
# Fe3P2

Crystalline Fe3P2 at its relaxed geometry (PBE, the Alexandria database).

Structure (extended XYZ):
```
10
Lattice="0.000 5.052 5.176 2.196 0.000 5.176 2.196 5.052 0.000" Properties=species:S:1:pos:R:3 pbc="T T T"
P 1.494 7.001 5.669
P 2.592 5.629 8.257
P 1.494 3.103 4.683
P 2.592 4.475 2.095
Fe 2.654 5.956 4.060
Fe 0.489 5.052 5.176
Fe 3.752 8.482 8.879
Fe 1.588 2.526 2.588
Fe 3.752 6.674 6.648
Fe 2.654 4.148 6.291
```

## Properties
SG ... Fdd2
Formation energy from the elements ... -0.26 eV/atom


(9)
# NaCd2TeRu

Crystalline NaCd2TeRu at its relaxed geometry (PBE, the Alexandria database).

Structure (extended XYZ):
```
5
Lattice="5.026 0.000 0.000 0.000 5.203 0.000 0.000 0.000 5.026" Properties=species:S:1:pos:R:3 pbc="T T T"
Cd 0.000 0.000 2.513
Cd 2.513 0.000 0.000
Na 0.000 0.000 0.000
Te 0.000 2.601 0.000
Ru 2.513 2.601 2.513
```

## Properties
SG ... P4/mmm
Energy relative to the elements, uncorrected ... 1.26 eV/atom


(10)
# EuSc2Se

Crystalline EuSc2Se at its relaxed geometry (PBE, the Alexandria database).

Structure (extended XYZ):
```
4
Lattice="-1.110 -0.146 3.457 2.208 -1.327 2.563 3.970 8.467 3.541" Properties=species:S:1:pos:R:3 pbc="T T T"
Eu 0.000 0.000 0.000
Se 2.534 3.497 4.780
Sc 2.762 5.464 3.027
Sc 2.306 1.530 6.534
```

## Properties
SG ... R-3m
Energy relative to the elements, uncorrected ... -0.53 eV/atom


(11)
# TcPPbO2

Crystalline TcPPbO2 at its relaxed geometry (PBE, the Alexandria database).

Structure (extended XYZ):
```
5
Lattice="-3.756 0.878 1.329 -1.588 -1.801 -3.298 -0.170 -4.913 2.764" Properties=species:S:1:pos:R:3 pbc="T T T"
Pb 0.000 0.000 0.000
O -1.878 0.439 0.664
O -0.794 -0.900 -1.649
Tc -2.757 -2.918 0.397
P -0.085 -2.457 1.382
```

## Properties
Offset from the most stable computed form ... 1.254 eV/atom
SG ... P4/mmm
Energy relative to the elements, uncorrected ... 0.63 eV/atom


(12)
# PmYErIn

Crystalline PmYErIn at its relaxed geometry (PBE, the Alexandria database).

Structure (extended XYZ):
```
4
Lattice="-0.935 -4.307 3.253 4.130 -2.272 2.791 0.269 0.568 5.442" Properties=species:S:1:pos:R:3 pbc="T T T"
Y 0.000 0.000 0.000
Pm 0.866 -1.503 2.871
Er 1.732 -3.006 5.743
In 2.598 -4.508 8.614
```

## Properties
Offset from the most stable computed form ... 0.165 eV/atom
SG ... F-43m
Formation energy from the elements ... -0.10 eV/atom